Entry 1:
NdMg9Zn3 | GGA-PBE | relaxed

Structure (POSCAR):
```
NdMg9Zn3
1.0
-5.645 -0.796 -0.181
-1.927 -6.683 2.804
-3.425 2.434 6.245
Nd Mg Zn
1 9 3
Direct
0.000 0.000 0.000
0.709 0.789 0.781
0.291 0.211 0.219
0.510 0.211 0.781
0.490 0.789 0.219
0.650 0.341 0.355
0.350 0.659 0.645
0.995 0.659 0.355
0.005 0.341 0.645
0.000 0.500 0.000
0.500 0.500 0.000
0.000 0.000 0.500
0.500 0.000 0.500
```

Crystal system ... monoclinic
Energy of formation from the pure elements ... -0.1217 eV/atom
Magnetic moment ... 0.00 μB per cell

Entry 2:
ErThRu | GGA-PBE | relaxed

Structure (POSCAR):
```
ErThRu
1.0
4.848 0.000 0.000
2.424 4.199 0.000
2.424 1.400 3.959
Ru Th Er
1 1 1
Direct
0.250 0.250 0.250
0.500 0.500 0.500
0.000 0.000 0.000
```

Crystal system ... cubic
Energy of formation from the pure elements ... -0.2662 eV/atom
Magnetic moment ... 0.00 μB per cell

Entry 3:
LiInCl2 | GGA-PBE | relaxed

Structure (POSCAR):
```
LiInCl2
1.0
-3.486 1.904 4.109
0.815 -4.732 3.099
2.715 4.693 -1.806
Cl In Li
2 1 1
Direct
0.052 0.052 0.000
0.448 0.448 0.000
0.750 0.250 0.500
0.250 0.750 0.500
```

Crystal system ... orthorhombic
Formation energy from raw total energies ... -1.1656 eV per atom
Magnetic moment ... 0.00 μB per cell

Repeat the first record exactly.
NdMg9Zn3 | GGA-PBE | relaxed

Structure (POSCAR):
```
NdMg9Zn3
1.0
-5.645 -0.796 -0.181
-1.927 -6.683 2.804
-3.425 2.434 6.245
Nd Mg Zn
1 9 3
Direct
0.000 0.000 0.000
0.709 0.789 0.781
0.291 0.211 0.219
0.510 0.211 0.781
0.490 0.789 0.219
0.650 0.341 0.355
0.350 0.659 0.645
0.995 0.659 0.355
0.005 0.341 0.645
0.000 0.500 0.000
0.500 0.500 0.000
0.000 0.000 0.500
0.500 0.000 0.500
```

Crystal system ... monoclinic
Energy of formation from the pure elements ... -0.1217 eV/atom
Magnetic moment ... 0.00 μB per cell